This record from Alexandria via LeMat-Bulk describes a geometry-optimized TmU2P3 structure. The functional is PBE.

Summary:
- Total DFT energy (no corrections): -8.39 eV per atom
- SG: Pnma, No. 62
- Formation energy from the elements: -1174 meV/atom

a b c (Å): 7.860 5.561 11.823
angles (deg): 90.00 90.00 90.00
Element x y z (fractional)
Tm (0.124, 0.250, 0.082)
Tm (0.376, 0.750, 0.582)
Tm (0.624, 0.250, 0.418)
Tm (0.876, 0.750, 0.918)
U (0.124, 0.250, 0.417)
U (0.125, 0.250, 0.751)
U (0.375, 0.750, 0.251)
U (0.376, 0.750, 0.917)
U (0.624, 0.250, 0.083)
U (0.625, 0.250, 0.749)
U (0.875, 0.750, 0.249)
U (0.876, 0.750, 0.583)
P (0.126, 0.750, 0.417)
P (0.126, 0.750, 0.751)
P (0.127, 0.750, 0.084)
P (0.373, 0.250, 0.584)
P (0.374, 0.250, 0.251)
P (0.374, 0.250, 0.917)
P (0.626, 0.750, 0.083)
P (0.626, 0.750, 0.749)
P (0.627, 0.750, 0.416)
P (0.873, 0.250, 0.916)
P (0.874, 0.250, 0.249)
P (0.874, 0.250, 0.583)